Ac3AlHg after structural relaxation. Source: the Alexandria database, functional PBE.

Structure (POSCAR):
```
Ac3AlHg
1.0
2.862 -10.609 0.000
2.862 10.609 0.000
0.000 0.000 5.742
Ac Al Hg
6 2 2
Cartesian
2.862 9.288 4.307
2.862 5.365 4.307
2.862 1.489 4.307
2.862 -1.489 1.436
2.862 -5.365 1.436
2.862 -9.288 1.436
2.862 7.330 1.436
2.862 -7.330 4.307
2.862 3.300 1.436
2.862 -3.300 4.307
```

Calculated values
As for the mass density: 8.65 Mg/m³. Its total energy is -17.64 eV per formula unit. The energy above the most stable polymorph in this dataset comes out at 24 meV/atom. As for the formation energy from the elements: -254 meV/atom.